[1]
Density functional theory data (PBE) for a relaxed structure of Ge3PCl.

**Final energy**: -3.195 eV/atom
**ΔE to the lowest computed polymorph**: 45.7 kJ/mol of atoms
**V**: 121.99 Å³/f.u.
**Magnetization**: 0.0 μB per formula unit

Lattice parameters (Å, degrees): 4.960 4.960 4.960 90.00 90.00 90.00
Space group Pm-3m (No. 221)
Asymmetric unit:
Ge1 0.000 0.000 0.500
P1 0.500 0.500 0.500
Cl1 0.000 0.000 0.000


[2]
Density functional theory data (PBE) for a relaxed structure of GePCl2.

**Final energy**: -3.075 eV/atom
**ΔE to the lowest computed polymorph**: 0.0 kJ/mol of atoms
**V**: 86.10 Å³/f.u.
**Magnetization**: 0.0 μB per formula unit

Lattice parameters (Å, degrees): 7.513 7.513 6.102 90.00 90.00 90.00
Space group I-42d (No. 122)
Asymmetric unit:
Ge1 0.000 0.000 0.000
P1 0.000 0.000 0.500
Cl1 0.244 0.250 0.625


[3]
Density functional theory data (PBE) for a relaxed structure of GePCl3.

**Final energy**: -2.936 eV/atom
**ΔE to the lowest computed polymorph**: 0.0 kJ/mol of atoms
**V**: 131.86 Å³/f.u.
**Magnetization**: 2.3 μB per formula unit

Lattice parameters (Å, degrees): 5.090 5.090 5.090 90.00 90.00 90.00
Space group Pm-3m (No. 221)
Asymmetric unit:
Ge1 0.000 0.000 0.000
P1 0.500 0.500 0.500
Cl1 0.000 0.000 0.500


[4]
Density functional theory data (PBE) for a relaxed structure of GePCl2.

**Final energy**: -2.895 eV/atom
**ΔE to the lowest computed polymorph**: 17.3 kJ/mol of atoms
**V**: 82.48 Å³/f.u.
**Magnetization**: 1.9 μB per formula unit

Lattice parameters (Å, degrees): 6.910 6.910 6.910 90.00 90.00 90.00
Space group Fm-3m (No. 225)
Asymmetric unit:
Ge1 0.000 0.000 0.000
P1 0.000 0.000 0.500
Cl1 0.250 0.250 0.250


[5]
Density functional theory data (PBE) for a relaxed structure of Ge2P2Cl.

**Final energy**: -4.323 eV/atom
**ΔE to the lowest computed polymorph**: 7.7 kJ/mol of atoms
**V**: 102.15 Å³/f.u.
**Magnetization**: 0.0 μB per formula unit

Lattice parameters (Å, degrees): 3.833 3.833 13.907 90.00 90.00 90.00
Space group I4/mmm (No. 139)
Asymmetric unit:
Ge1 0.000 0.000 0.119
P1 0.000 0.500 0.250
Cl1 0.000 0.000 0.500


[6]
Density functional theory data (PBE) for a relaxed structure of Ge2PCl.

**Final energy**: -3.911 eV/atom
**ΔE to the lowest computed polymorph**: 9.8 kJ/mol of atoms
**V**: 75.66 Å³/f.u.
**Magnetization**: 0.0 μB per formula unit

Lattice parameters (Å, degrees): 6.714 6.714 6.714 90.00 90.00 90.00
Space group Fm-3m (No. 225)
Asymmetric unit:
Ge1 0.250 0.250 0.250
P1 0.000 0.000 0.000
Cl1 0.000 0.000 0.500


What did the first record say?
Density functional theory data (PBE) for a relaxed structure of Ge3PCl.

**Final energy**: -3.195 eV/atom
**ΔE to the lowest computed polymorph**: 45.7 kJ/mol of atoms
**V**: 121.99 Å³/f.u.
**Magnetization**: 0.0 μB per formula unit

Lattice parameters (Å, degrees): 4.960 4.960 4.960 90.00 90.00 90.00
Space group Pm-3m (No. 221)
Asymmetric unit:
Ge1 0.000 0.000 0.500
P1 0.500 0.500 0.500
Cl1 0.000 0.000 0.000


> Look up the final energy of the first one.

-3.195 eV/atom


> The highest ΔE to the lowest computed polymorph belongs to which entry?

Ge3PCl


> Which formula does entry 4 have?

GePCl2